The following is a DFT calculation (PBE-GGA) of a relaxed PuAg2F6 crystal.

Calculated values
For the energy relative to the elements, uncorrected, the calculation gives -21.033 eV/f.u. The value obtained for the total energy is -104.6 eV/cell. Its theoretical density is 5.48 g/cm³. As for the symmetry: P2_1/c.

Unit cell a=6.1155 b=6.2902 c=9.1038 alpha=90.01 beta=97.17 gamma=89.98
Fractional positions:
F 0.1358 0.2477 0.3708
F 0.1568 0.1482 0.7002
F 0.3645 0.7476 0.1294
F 0.6569 0.3515 0.2000
F 0.6355 0.2524 0.8706
F 0.7016 0.1721 0.5253
F 0.7983 0.6721 0.9747
F 0.8642 0.7523 0.6292
F 0.3431 0.6485 0.8000
F 0.2017 0.3279 0.0253
F 0.2984 0.8279 0.4747
F 0.8432 0.8518 0.2998
Ag 0.4608 0.0499 0.2780
Ag 0.5392 0.9501 0.7220
Ag 0.0392 0.5499 0.2221
Ag 0.9608 0.4501 0.7779
Pu 0.0000 0.0000 0.5000
Pu 0.5000 0.5000 0.0000